Entry 1:
! PBE Rb3TeF, optimized geometry; values from VASP
! Total magnetic moment   0.0 μB per formula unit
! Energy above the lowest structure with this stoichiometry   279 meV per atom
! Formation energy without anion corrections   -7.00 eV per formula unit
! Total DFT energy (no corrections)   -29.84 eV for the cell shown
&SYSTEM
  ibrav = 0, nat = 10, ntyp = 3
/
ATOMIC_SPECIES
Te 127.60 Te.upf
Rb 85.47 Rb.upf
F 19.00 F.upf
CELL_PARAMETERS angstrom
6.9418 0.0000 0.0000
0.0000 6.9418 0.0000
3.4709 3.4709 8.5569
ATOMIC_POSITIONS crystal
Te 0.6089 0.1089 0.7822
Te 0.8911 0.3911 0.2178
Rb 0.6392 0.9029 0.1941
Rb 0.0971 0.3608 0.8059
Rb 0.0971 0.8333 0.8059
Rb 0.1667 0.9029 0.1941
Rb 0.3047 0.3047 0.3907
Rb 0.6953 0.6953 0.6093
F 0.0000 0.0000 0.0000
F 0.2500 0.7500 0.5000


Entry 2:
! PBE TmCo2Sn2, optimized geometry; values from VASP
! Total magnetic moment   0.7 μB per formula unit
! Formation enthalpy at 0 K   -0.26 eV per atom
! Total DFT energy (no corrections)   -55.99 eV for the cell shown
&SYSTEM
  ibrav = 0, nat = 10, ntyp = 3
/
ATOMIC_SPECIES
Tm 168.93 Tm.upf
Co 58.93 Co.upf
Sn 118.71 Sn.upf
CELL_PARAMETERS angstrom
4.2089 0.0000 0.0000
0.0000 4.4948 -0.0520
0.0000 -1.2181 10.1112
ATOMIC_POSITIONS crystal
Tm 0.2500 0.6972 0.2496
Tm 0.7500 0.3028 0.7504
Co 0.2500 0.7992 0.6371
Co 0.7500 0.2008 0.3629
Co 0.2500 0.3768 0.0011
Co 0.7500 0.6232 0.9989
Sn 0.2500 0.8378 0.8809
Sn 0.7500 0.1622 0.1191
Sn 0.2500 0.2567 0.5043
Sn 0.7500 0.7433 0.4957


Entry 3:
! PBE AcPm8Tm3, optimized geometry; values from VASP
! Total magnetic moment   0.0 μB per formula unit
! Formation enthalpy at 0 K   0.02 eV per atom
! Total DFT energy (no corrections)   -55.25 eV for the cell shown
&SYSTEM
  ibrav = 0, nat = 12, ntyp = 3
/
ATOMIC_SPECIES
Ac 227.00 Ac.upf
Pm 145.00 Pm.upf
Tm 168.93 Tm.upf
CELL_PARAMETERS angstrom
-2.2396 -1.1638 5.8070
5.1859 -2.9973 -2.0526
6.7011 8.6387 4.3157
ATOMIC_POSITIONS crystal
Ac 0.0000 0.0000 0.5000
Pm 0.3369 0.3369 0.7566
Pm 0.6631 0.0000 0.7566
Pm 0.0000 0.6631 0.7566
Pm 0.6631 0.6631 0.2434
Pm 0.3369 0.0000 0.2434
Pm 0.0000 0.3369 0.2434
Pm 0.3333 0.6667 0.5000
Pm 0.6667 0.3333 0.5000
Tm 0.3333 0.6667 0.0000
Tm 0.6667 0.3333 0.0000
Tm 0.0000 0.0000 0.0000


Entry 4:
! PBE TcTeIr2, optimized geometry; values from VASP
! Total magnetic moment   0.4 μB per formula unit
! Formation energy without anion corrections   2.19 eV per formula unit
! Total DFT energy (no corrections)   -29.04 eV for the cell shown
&SYSTEM
  ibrav = 0, nat = 4, ntyp = 3
/
ATOMIC_SPECIES
Ir 192.22 Ir.upf
Tc 98.00 Tc.upf
Te 127.60 Te.upf
CELL_PARAMETERS angstrom
5.4928 0.0110 0.0057
2.7031 4.7817 -0.0057
-3.5221 -3.3811 2.5168
ATOMIC_POSITIONS crystal
Ir 0.0220 0.0220 0.0000
Ir 0.7407 0.2407 0.5000
Tc 0.4838 0.4838 0.0000
Te 0.2536 0.7536 0.5000


Entry 5:
! PBE PRuI, optimized geometry; values from VASP
! Total magnetic moment   0.0 μB per formula unit
! Formation energy without anion corrections   -0.45 eV per formula unit
! Total DFT energy (no corrections)   -66.75 eV for the cell shown
&SYSTEM
  ibrav = 0, nat = 12, ntyp = 3
/
ATOMIC_SPECIES
I 126.90 I.upf
P 30.97 P.upf
Ru 101.07 Ru.upf
CELL_PARAMETERS angstrom
-4.8162 2.3192 -2.9889
-3.4851 0.1665 5.7450
3.0534 5.6112 -0.5662
ATOMIC_POSITIONS crystal
I 0.3656 0.8558 0.6610
I 0.6344 0.1442 0.3390
I 0.1344 0.8558 0.1610
I 0.8656 0.1442 0.8390
P 0.3505 0.4009 0.1184
P 0.6495 0.5991 0.8816
P 0.8505 0.5991 0.3816
P 0.1495 0.4009 0.6184
Ru 0.9610 0.7083 0.7393
Ru 0.5390 0.7083 0.2393
Ru 0.0390 0.2917 0.2607
Ru 0.4610 0.2917 0.7607


Entry 6:
! PBE TlFeIr2, optimized geometry; values from VASP
! Total magnetic moment   3.1 μB per formula unit
! Energy above the lowest structure with this stoichiometry   173 meV per atom
! Formation enthalpy at 0 K   0.48 eV per atom
! Total DFT energy (no corrections)   -26.64 eV for the cell shown
&SYSTEM
  ibrav = 0, nat = 4, ntyp = 3
/
ATOMIC_SPECIES
Fe 55.84 Fe.upf
Ir 192.22 Ir.upf
Tl 204.38 Tl.upf
CELL_PARAMETERS angstrom
4.9011 0.0713 0.0000
1.5945 4.6350 0.0000
-3.2478 -2.3532 2.8179
ATOMIC_POSITIONS crystal
Fe 0.7500 0.2500 0.5000
Ir 0.0000 0.0000 0.0000
Ir 0.2500 0.7500 0.5000
Tl 0.5000 0.5000 0.0000


Entry 7:
! PBE Tb2Pr6Dy3In, optimized geometry; values from VASP
! Total magnetic moment   0.0 μB per formula unit
! Formation enthalpy at 0 K   -0.04 eV per atom
! Total DFT energy (no corrections)   -54.91 eV for the cell shown
&SYSTEM
  ibrav = 0, nat = 12, ntyp = 4
/
ATOMIC_SPECIES
Tb 158.93 Tb.upf
Pr 140.91 Pr.upf
Dy 162.50 Dy.upf
In 114.82 In.upf
CELL_PARAMETERS angstrom
-5.0377 -3.5104 1.1737
5.2645 -0.8721 3.2563
-3.6805 9.3041 6.4194
ATOMIC_POSITIONS crystal
Tb 0.3336 0.6664 0.0000
Tb 0.6664 0.3336 0.0000
Pr 0.9178 0.5907 0.7519
Pr 0.7559 0.7559 0.2494
Pr 0.0822 0.4093 0.2481
Pr 0.5907 0.9178 0.7519
Pr 0.2441 0.2441 0.7506
Pr 0.4093 0.0822 0.2481
Dy 0.1677 0.8323 0.5000
Dy 0.8323 0.1677 0.5000
Dy 0.5000 0.5000 0.5000
In 0.0000 0.0000 0.0000


Entry 8:
! PBE Si4C, optimized geometry; values from VASP
! Total magnetic moment   0.0 μB per formula unit
! Energy above the lowest structure with this stoichiometry   228 meV per atom
! Formation energy without anion corrections   4.27 eV per formula unit
! Total DFT energy (no corrections)   -26.64 eV for the cell shown
&SYSTEM
  ibrav = 0, nat = 5, ntyp = 2
/
ATOMIC_SPECIES
Si 28.09 Si.upf
C 12.01 C.upf
CELL_PARAMETERS angstrom
-3.2467 3.2467 1.4763
3.2467 -3.2467 1.4763
3.2467 3.2467 -1.4763
ATOMIC_POSITIONS crystal
Si 0.7685 0.5000 0.2685
Si 0.5000 0.2315 0.7315
Si 0.2315 0.5000 0.7315
Si 0.5000 0.7685 0.2685
C 0.0000 0.0000 0.0000


Entry 9:
! PBE NdAl10Tc2, optimized geometry; values from VASP
! Total magnetic moment   0.0 μB per formula unit
! Formation enthalpy at 0 K   -0.42 eV per atom
! Total DFT energy (no corrections)   -136.66 eV for the cell shown
&SYSTEM
  ibrav = 0, nat = 26, ntyp = 3
/
ATOMIC_SPECIES
Nd 144.24 Nd.upf
Al 26.98 Al.upf
Tc 98.00 Tc.upf
CELL_PARAMETERS angstrom
6.9229 0.0885 0.0000
-0.9375 6.8597 0.0000
0.0000 0.0000 9.2784
ATOMIC_POSITIONS crystal
Nd 0.8754 0.1246 0.7500
Nd 0.1246 0.8754 0.2500
Al 0.4053 0.1359 0.7500
Al 0.5947 0.8640 0.2500
Al 0.8640 0.5947 0.7500
Al 0.1359 0.4053 0.2500
Al 0.5252 0.7829 0.7500
Al 0.4748 0.2171 0.2500
Al 0.2171 0.4748 0.7500
Al 0.7829 0.5252 0.2500
Al 0.8442 0.1558 0.4019
Al 0.1558 0.8442 0.9019
Al 0.8442 0.1558 0.0981
Al 0.1558 0.8442 0.5981
Al 0.6239 0.3761 0.9601
Al 0.3761 0.6239 0.4601
Al 0.6239 0.3761 0.5399
Al 0.3761 0.6239 0.0399
Al 0.7717 0.7717 0.0000
Al 0.2283 0.2283 0.5000
Al 0.2283 0.2283 0.0000
Al 0.7717 0.7717 0.5000
Tc 0.5000 0.0000 0.0000
Tc 0.5000 0.0000 0.5000
Tc 0.0000 0.5000 0.5000
Tc 0.0000 0.5000 0.0000


Entry 10:
! PBE LuZrMnOs, optimized geometry; values from VASP
! Total magnetic moment   2.4 μB per formula unit
! Formation enthalpy at 0 K   -0.16 eV per atom
! Total DFT energy (no corrections)   -34.11 eV for the cell shown
&SYSTEM
  ibrav = 0, nat = 4, ntyp = 4
/
ATOMIC_SPECIES
Mn 54.94 Mn.upf
Lu 174.97 Lu.upf
Os 190.23 Os.upf
Zr 91.22 Zr.upf
CELL_PARAMETERS angstrom
-4.2612 1.9535 0.3553
-3.4834 -2.3294 2.1306
-1.5808 1.4473 4.1841
ATOMIC_POSITIONS crystal
Mn 0.7500 0.7500 0.7500
Lu 0.0000 0.0000 0.0000
Os 0.2500 0.2500 0.2500
Zr 0.5000 0.5000 0.5000


Entry 11:
! PBE ThSi3Ru3, optimized geometry; values from VASP
! Total magnetic moment   0.0 μB per formula unit
! Energy above the lowest structure with this stoichiometry   194 meV per atom
! Formation energy without anion corrections   -1.31 eV per formula unit
! Total DFT energy (no corrections)   -105.65 eV for the cell shown
&SYSTEM
  ibrav = 0, nat = 14, ntyp = 3
/
ATOMIC_SPECIES
Ru 101.07 Ru.upf
Si 28.09 Si.upf
Th 232.04 Th.upf
CELL_PARAMETERS angstrom
-0.9908 1.0901 -6.3017
3.9474 -4.9129 -1.4705
-5.0317 -4.0689 0.0872
ATOMIC_POSITIONS crystal
Ru 0.2500 0.0000 0.5000
Ru 0.0000 0.5000 0.2500
Ru 0.5000 0.7500 0.0000
Ru 0.7500 0.0000 0.5000
Ru 0.0000 0.5000 0.7500
Ru 0.5000 0.2500 0.0000
Si 0.0000 0.2500 0.5000
Si 0.0000 0.7500 0.5000
Si 0.5000 0.0000 0.7500
Si 0.7500 0.5000 0.0000
Si 0.5000 0.0000 0.2500
Si 0.2500 0.5000 0.0000
Th 0.5000 0.5000 0.5000
Th 0.0000 0.0000 0.0000


Entry 12:
! PBE Er4Bi2N, optimized geometry; values from VASP
! Total magnetic moment   0.0 μB per formula unit
! Formation energy without anion corrections   -6.30 eV per formula unit
! Total DFT energy (no corrections)   -40.64 eV for the cell shown
&SYSTEM
  ibrav = 0, nat = 7, ntyp = 3
/
ATOMIC_SPECIES
N 14.01 N.upf
Bi 208.98 Bi.upf
Er 167.26 Er.upf
CELL_PARAMETERS angstrom
4.6594 0.0000 0.0000
0.0000 4.6594 0.0000
-2.3297 -2.3297 8.0543
ATOMIC_POSITIONS crystal
N 0.0000 0.0000 0.0000
Bi 0.6460 0.6460 0.2920
Bi 0.3540 0.3540 0.7080
Er 0.8432 0.8432 0.6865
Er 0.1568 0.1568 0.3135
Er 0.0000 0.5000 0.0000
Er 0.5000 0.0000 0.0000


- Among the records above, which one has the highest total magnetic moment?
  TlFeIr2